The following is a DFT calculation (GGA-PBE) of a relaxed NdAlO3 crystal.

a b c (Å): 6.225 6.225 6.225
angles (deg): 53.71 53.71 53.71
Positions (direct):
O1 0.945 0.250 0.555
O2 0.750 0.445 0.055
O3 0.445 0.055 0.750
O4 0.250 0.555 0.945
O5 0.055 0.750 0.445
O6 0.555 0.945 0.250
Al1 0.750 0.750 0.750
Al2 0.250 0.250 0.250
Nd1 0.500 0.500 0.500
Nd2 0.000 0.000 0.000

E_tot = -76.4 eV per cell
crystal system = trigonal

=====

The following is a DFT calculation (GGA-PBE) of a relaxed YFeTcPb crystal.

a b c (Å): 4.745 4.745 4.745
angles (deg): 60.00 60.00 60.00
Positions (direct):
Y1 0.250 0.250 0.250
Pb1 0.000 0.000 0.000
Fe1 0.750 0.750 0.750
Tc1 0.500 0.500 0.500

E_tot = -27.0 eV per cell
crystal system = cubic

=====

Summary of volume in Å³/f.u.
73 76
(order as listed above)